Li7Mn2Co3O12: optimized geometry, PBE+U.

CIF file:
```
data_Li7Mn2Co3O12
_chemical_formula_sum 'Li7 Mn2 Co3 O12'
_symmetry_space_group_name_H-M 'P 1'
_symmetry_Int_Tables_number 1
_symmetry_space_group_name_Hall 'P 1'
_cell_length_a 5.109
_cell_length_b 5.908
_cell_length_c 7.603
_cell_angle_alpha 79.73
_cell_angle_beta 77.17
_cell_angle_gamma 73.85
loop_
_atom_site_label
_atom_site_type_symbol
_atom_site_fract_x
_atom_site_fract_y
_atom_site_fract_z
Li1 Li 0.000 0.500 0.000
Li2 Li 0.510 0.341 0.158
Li3 Li 0.500 0.500 0.500
Li4 Li 0.494 0.171 0.839
Li5 Li 0.506 0.829 0.161
Li6 Li 0.490 0.659 0.842
Li7 Li 0.500 0.000 0.500
O1 O 0.777 0.148 0.577
O2 O 0.230 0.527 0.735
O3 O 0.753 0.337 0.902
O4 O 0.776 0.000 0.244
O5 O 0.218 0.322 0.421
O6 O 0.247 0.663 0.098
O7 O 0.770 0.473 0.265
O8 O 0.782 0.678 0.579
O9 O 0.783 0.848 0.909
O10 O 0.224 0.000 0.756
O11 O 0.223 0.852 0.423
O12 O 0.217 0.152 0.091
Co1 Co 0.000 0.000 0.000
Co2 Co 0.012 0.657 0.318
Co3 Co 0.988 0.343 0.682
Mn1 Mn 0.997 0.166 0.331
Mn2 Mn 0.003 0.834 0.669
```

Output
As for the energy above the most stable polymorph in this dataset: 13 meV per atom. Its crystal system is triclinic. The calculation puts the volume at 8.89 Å³/atom.